Density functional theory data (PBE) for a relaxed LaTc3Rh crystal.

Results
Total moment ... 0.0 μB per formula unit
E_form ... 1.079 eV per atom
Space-group type ... Pm-3m, No. 221
Energy above the lowest structure with this stoichiometry ... 0.000 eV per atom
Energy ... -7.597 eV per atom

Lattice parameters (Å, degrees): 4.7531 4.7531 4.7531 90.00 90.00 90.00
Last column: nearest neighbours and their distance in Å.
Element x y z (fractional)
Rh 0.0000 0.0000 0.0000  6 Tc 2.38
Tc 0.0000 0.5000 0.0000  2 Rh 2.38
Tc 0.0000 0.0000 0.5000  2 Rh 2.38
Tc 0.5000 0.0000 0.0000  2 Rh 2.38
La 0.5000 0.5000 0.5000  12 Tc 3.36